# SrCdTe2

A crystal of SrCdTe2 relaxed with PBEsol (meta-GGA SCAN, Alexandria). Values from VASP.

Summary:
Electronic total energy in eV/atom: -32.867
Density in g cm⁻³: 6.00

```
&SYSTEM
  ibrav = 0, nat = 4, ntyp = 3
/
ATOMIC_SPECIES
Sr 87.62 Sr.upf
Cd 112.41 Cd.upf
Te 127.60 Te.upf
CELL_PARAMETERS angstrom
2.2389 1.2926 7.2564
-2.2389 1.2926 7.2564
0.0000 -2.5853 7.2564
ATOMIC_POSITIONS crystal
Sr 0.0000 0.0000 0.0000
Cd 0.5000 0.5000 0.5000
Te 0.2404 0.2404 0.2404
Te 0.7596 0.7596 0.7596
```



# SrTiNF2

A crystal of SrTiNF2 relaxed with PBEsol (meta-GGA SCAN, Alexandria). Values from VASP.

Summary:
Electronic total energy in eV/atom: -13.559
Density in g cm⁻³: 4.68

```
&SYSTEM
  ibrav = 0, nat = 5, ntyp = 4
/
ATOMIC_SPECIES
Sr 87.62 Sr.upf
Ti 47.87 Ti.upf
N 14.01 N.upf
F 19.00 F.upf
CELL_PARAMETERS angstrom
4.0745 0.0000 0.0000
0.0000 4.0745 0.0000
0.0000 0.0000 4.0056
ATOMIC_POSITIONS crystal
Sr 0.0000 0.0000 0.0000
Ti 0.5000 0.5000 0.5000
N 0.5000 0.5000 0.0000
F 0.0000 0.5000 0.5000
F 0.5000 0.0000 0.5000
```



# RbTaSCl2

A crystal of RbTaSCl2 relaxed with PBEsol (meta-GGA SCAN, Alexandria). Values from VASP.

Summary:
Electronic total energy in eV/atom: -23.786
Density in g cm⁻³: 5.30

```
&SYSTEM
  ibrav = 0, nat = 5, ntyp = 4
/
ATOMIC_SPECIES
Rb 85.47 Rb.upf
Ta 180.95 Ta.upf
S 32.06 S.upf
Cl 35.45 Cl.upf
CELL_PARAMETERS angstrom
4.9443 0.0000 0.0000
0.0000 4.9443 0.0000
0.0000 0.0000 4.7362
ATOMIC_POSITIONS crystal
Rb 0.0000 0.0000 0.0000
Ta 0.5000 0.5000 0.5000
S 0.5000 0.5000 0.0000
Cl 0.0000 0.5000 0.5000
Cl 0.5000 0.0000 0.5000
```



# BeRe3Sb

A crystal of BeRe3Sb relaxed with PBEsol (meta-GGA SCAN, Alexandria). Values from VASP.

Summary:
Electronic total energy in eV/atom: -47.926
Density in g cm⁻³: 10.60

```
&SYSTEM
  ibrav = 0, nat = 5, ntyp = 3
/
ATOMIC_SPECIES
Be 9.01 Be.upf
Re 186.21 Re.upf
Sb 121.76 Sb.upf
CELL_PARAMETERS angstrom
4.7622 0.0000 0.0000
0.0000 4.7622 0.0000
0.0000 0.0000 4.7622
ATOMIC_POSITIONS crystal
Be 0.0000 0.0000 0.0000
Re 0.0000 0.5000 0.5000
Re 0.5000 0.0000 0.5000
Re 0.5000 0.5000 0.0000
Sb 0.5000 0.5000 0.5000
```



# CsK2Au2

A crystal of CsK2Au2 relaxed with PBEsol (meta-GGA SCAN, Alexandria). Values from VASP.

Summary:
Energy of formation from the pure elements in eV/atom: -0.323
Density in g cm⁻³: 5.67

```
&SYSTEM
  ibrav = 0, nat = 10, ntyp = 3
/
ATOMIC_SPECIES
Cs 132.91 Cs.upf
K 39.10 K.upf
Au 196.97 Au.upf
CELL_PARAMETERS angstrom
9.2739 0.0000 0.0000
0.0000 9.2739 0.0000
0.0000 0.0000 4.1231
ATOMIC_POSITIONS crystal
Cs 0.0000 0.0000 0.0000
Cs 0.5000 0.5000 0.0000
K 0.1365 0.3635 0.5000
K 0.3635 0.8635 0.5000
K 0.6365 0.1365 0.5000
K 0.8635 0.6365 0.5000
Au 0.1558 0.6558 0.0000
Au 0.3442 0.1558 0.0000
Au 0.6558 0.8442 0.0000
Au 0.8442 0.3442 0.0000
```



# HfAl2Sn

A crystal of HfAl2Sn relaxed with PBEsol (meta-GGA SCAN, Alexandria). Values from VASP.

Summary:
Energy of formation from the pure elements in eV/atom: 0.221
Density in g cm⁻³: 6.95

```
&SYSTEM
  ibrav = 0, nat = 8, ntyp = 3
/
ATOMIC_SPECIES
Hf 178.49 Hf.upf
Al 26.98 Al.upf
Sn 118.71 Sn.upf
CELL_PARAMETERS angstrom
-3.8403 3.8403 2.8441
3.8403 -3.8403 2.8441
3.8403 3.8403 -2.8441
ATOMIC_POSITIONS crystal
Hf 0.0000 0.0000 0.0000
Hf 0.7500 0.2500 0.5000
Al 0.1374 0.6250 0.0124
Al 0.3750 0.3874 0.5124
Al 0.6126 0.1250 0.9876
Al 0.8750 0.8626 0.4876
Sn 0.2500 0.7500 0.5000
Sn 0.5000 0.5000 0.0000
```